[1]
RePbS2Cl | GGA-PBE | relaxed

The energy is -5.23 eV/atom. For the energy above the most stable polymorph in this dataset, the calculation gives 0.000 eV/atom.

The structure belongs to space group P4/mmm (No. 123); the cell edges are 4.647, 4.647 and 5.059 Å and the angles 90.00°, 90.00° and 90.00°. The asymmetric unit holds Re at (0.000, 0.000, 0.000), Pb at (0.500, 0.500, 0.500), S at (0.000, 0.500, 0.000) and Cl at (0.000, 0.000, 0.500).

[2]
RePbS2Cl | GGA-PBE | relaxed

The energy is -3.98 eV/atom. For the energy above the most stable polymorph in this dataset, the calculation gives 1.252 eV/atom.

The structure belongs to space group P4/mmm (No. 123); the cell edges are 5.219, 5.219 and 5.256 Å and the angles 90.00°, 90.00° and 90.00°. The asymmetric unit holds Re at (0.000, 0.000, 0.000), Pb at (0.500, 0.500, 0.500), S at (0.000, 0.500, 0.500) and Cl at (0.500, 0.500, 0.000).

[3]
Rh2PbCl | GGA-PBE | relaxed

The energy is -4.80 eV/atom. For the energy above the most stable polymorph in this dataset, the calculation gives 0.132 eV/atom.

The structure belongs to space group I-42d (No. 122); the cell edges are 4.847, 4.847 and 14.659 Å and the angles 90.00°, 90.00° and 90.00°. The asymmetric unit holds Rh at (0.142, 0.250, 0.125), Pb at (0.000, 0.000, 0.500) and Cl at (0.000, 0.000, 0.000).